The following is a PBE-GGA calculation of a relaxed AcCu3F8 crystal, from Alexandria via LeMat-Bulk.

Cell lengths 4.8815, 4.8815, 7.3648 Å; angles 90.00, 90.00, 120.00 degrees
Closest atoms and distances in Å follow each position.
Space group P-31m (No. 162)
Inequivalent atoms, fractional coordinates:
Ac 0.0000 0.0000 0.0000  12 F 2.82-2.85
Cu 0.0000 0.0000 0.5000  6 F 2.04
Cu 0.3333 0.6667 0.5000  6 F 2.10
F 0.0000 0.3216 0.6762  3 Cu 2.04-2.10
F 0.3333 0.6667 0.0000  3 Ac 2.82, 9 F 2.82-2.90

* electronic total energy: -56.54 eV/f.u.
* M_tot: 2.0 μB/f.u.
* DOS(E_F): 1.603 states/eV/atom
* ΔE_f (raw): -2098 meV/atom